Record 1
## BiF4 (PBE-GGA)

Data for an optimized crystal structure of BiF4.

Results
formation energy without anion corrections = -2.021 eV per atom
energy above the most stable polymorph in this dataset = 0.0 meV/atom

Cell: 5.841 5.841 5.760 Å, 105.62 105.62 117.56°
Fractional coordinates of all 10 atoms:
Bi (0.125, 0.875, 0.750)
Bi (0.875, 0.125, 0.250)
F (0.188, 0.248, 0.060)
F (0.188, 0.627, 0.438)
F (0.248, 0.188, 0.560)
F (0.373, 0.812, 0.062)
F (0.627, 0.188, 0.938)
F (0.752, 0.812, 0.440)
F (0.812, 0.373, 0.562)
F (0.812, 0.752, 0.940)

***

Record 2
## CrCo3I (PBE-GGA)

Data for an optimized crystal structure of CrCo3I.

Results
formation energy without anion corrections = 1.316 eV per atom
energy above the most stable polymorph in this dataset = 0.0 meV/atom

Cell: 4.308 4.308 4.308 Å, 90.00 90.00 90.00°
Fractional coordinates of all 5 atoms:
Cr (0.000, 0.000, 0.000)
Co (0.000, 0.000, 0.500)
Co (0.000, 0.500, 0.000)
Co (0.500, 0.000, 0.000)
I (0.500, 0.500, 0.500)

***

Record 3
## InCuAs2Ir (PBE-GGA)

Data for an optimized crystal structure of InCuAs2Ir.

Results
uncorrected energy = -4.091 eV per atom

Cell: 4.535 4.535 4.928 Å, 90.00 90.00 90.00°
Fractional coordinates of all 5 atoms:
In (0.000, 0.000, 0.000)
Cu (0.000, 0.000, 0.500)
As (0.000, 0.500, 0.500)
As (0.500, 0.000, 0.500)
Ir (0.500, 0.500, 0.000)

***

Record 4
## InGe2Pd2 (PBE-GGA)

Data for an optimized crystal structure of InGe2Pd2.

Results
uncorrected energy = -4.694 eV per atom

Cell: 7.631 7.631 3.113 Å, 90.00 90.00 90.00°
Fractional coordinates of all 10 atoms:
In (0.000, 0.000, 0.000)
In (0.500, 0.500, 0.000)
Ge (0.155, 0.345, 0.500)
Ge (0.345, 0.845, 0.500)
Ge (0.655, 0.155, 0.500)
Ge (0.845, 0.655, 0.500)
Pd (0.137, 0.637, 0.000)
Pd (0.363, 0.137, 0.000)
Pd (0.637, 0.863, 0.000)
Pd (0.863, 0.363, 0.000)

***

Record 5
## InSn3Rh4 (PBE-GGA)

Data for an optimized crystal structure of InSn3Rh4.

Results
uncorrected energy = -5.883 eV per atom

Cell: 7.058 7.048 4.722 Å, 70.55 70.33 39.12°
Fractional coordinates of all 8 atoms:
In (0.000, 0.000, 0.000)
Sn (0.248, 0.248, 0.752)
Sn (0.500, 0.500, 0.500)
Sn (0.752, 0.752, 0.248)
Rh (0.126, 0.126, 0.374)
Rh (0.374, 0.374, 0.126)
Rh (0.626, 0.626, 0.874)
Rh (0.874, 0.874, 0.626)

***

Record 6
## ZrAl2Ge (PBE-GGA)

Data for an optimized crystal structure of ZrAl2Ge.

Results
uncorrected energy = -5.618 eV per atom

Cell: 5.370 5.370 5.370 Å, 137.33 137.33 61.94°
Fractional coordinates of all 4 atoms:
Zr (0.000, 0.000, 0.000)
Al (0.250, 0.750, 0.500)
Al (0.750, 0.250, 0.500)
Ge (0.500, 0.500, 0.000)

***

Record 7
## PuMgP2 (PBE-GGA)

Data for an optimized crystal structure of PuMgP2.

Results
energy above the most stable polymorph in this dataset = 51.2 meV/atom

Cell: 6.582 6.582 6.582 Å, 34.98 34.98 34.98°
Fractional coordinates of all 4 atoms:
Pu (0.000, 0.000, 0.000)
Mg (0.825, 0.825, 0.825)
P (0.415, 0.415, 0.415)
P (0.582, 0.582, 0.582)

***

Record 8
## Tl2AgPb (PBE-GGA)

Data for an optimized crystal structure of Tl2AgPb.

Results
uncorrected energy = -2.702 eV per atom

Cell: 5.754 5.754 5.754 Å, 130.07 130.07 73.29°
Fractional coordinates of all 4 atoms:
Tl (0.250, 0.750, 0.500)
Tl (0.750, 0.250, 0.500)
Ag (0.000, 0.000, 0.000)
Pb (0.500, 0.500, 0.000)

***

Record 9
## AgSbW (PBE-GGA)

Data for an optimized crystal structure of AgSbW.

Results
formation energy without anion corrections = 0.842 eV per atom
energy above the most stable polymorph in this dataset = 150.5 meV/atom

Cell: 4.560 4.560 4.560 Å, 60.00 60.00 60.00°
Fractional coordinates of all 3 atoms:
Ag (0.000, 0.000, 0.000)
Sb (0.500, 0.500, 0.500)
W (0.750, 0.750, 0.750)

***

Record 10
## La2ScCl (PBE-GGA)

Data for an optimized crystal structure of La2ScCl.

Results
formation energy without anion corrections = -0.349 eV per atom
energy above the most stable polymorph in this dataset = 281.6 meV/atom

Cell: 6.791 6.791 6.791 Å, 150.39 128.90 60.18°
Fractional coordinates of all 4 atoms:
La (0.211, 0.211, 0.000)
La (0.789, 0.789, 0.000)
Sc (0.500, 0.000, 0.500)
Cl (0.000, 0.500, 0.500)

***

Record 11
## K12Pd3F5 (PBE-GGA)

Data for an optimized crystal structure of K12Pd3F5.

Results
formation energy without anion corrections = -1.272 eV per atom

Cell: 14.990 14.990 14.990 Å, 109.47 109.47 109.47°
Fractional coordinates of all 80 atoms:
K (0.025, 0.204, 0.123)
K (0.025, 0.321, 0.901)
K (0.080, 0.704, 0.679)
K (0.080, 0.877, 0.401)
K (0.099, 0.623, 0.420)
K (0.099, 0.975, 0.679)
K (0.123, 0.025, 0.204)
K (0.123, 0.599, 0.920)
K (0.179, 0.204, 0.580)
K (0.179, 0.475, 0.599)
K (0.204, 0.123, 0.025)
K (0.204, 0.580, 0.179)
K (0.296, 0.321, 0.920)
K (0.296, 0.475, 0.377)
K (0.321, 0.901, 0.025)
K (0.321, 0.920, 0.296)
K (0.377, 0.296, 0.475)
K (0.377, 0.580, 0.901)
K (0.401, 0.080, 0.877)
K (0.401, 0.821, 0.525)
K (0.420, 0.099, 0.623)
K (0.420, 0.821, 0.796)
K (0.475, 0.377, 0.296)
K (0.475, 0.599, 0.179)
K (0.525, 0.401, 0.821)
K (0.525, 0.623, 0.704)
K (0.580, 0.179, 0.204)
K (0.580, 0.901, 0.377)
K (0.599, 0.179, 0.475)
K (0.599, 0.920, 0.123)
K (0.623, 0.420, 0.099)
K (0.623, 0.704, 0.525)
K (0.679, 0.080, 0.704)
K (0.679, 0.099, 0.975)
K (0.704, 0.525, 0.623)
K (0.704, 0.679, 0.080)
K (0.796, 0.420, 0.821)
K (0.796, 0.877, 0.975)
K (0.821, 0.525, 0.401)
K (0.821, 0.796, 0.420)
K (0.877, 0.401, 0.080)
K (0.877, 0.975, 0.796)
K (0.901, 0.025, 0.321)
K (0.901, 0.377, 0.580)
K (0.920, 0.123, 0.599)
K (0.920, 0.296, 0.321)
K (0.975, 0.679, 0.099)
K (0.975, 0.796, 0.877)
Pd (0.125, 0.250, 0.375)
Pd (0.125, 0.375, 0.750)
Pd (0.250, 0.375, 0.125)
Pd (0.250, 0.875, 0.625)
Pd (0.375, 0.125, 0.250)
Pd (0.375, 0.750, 0.125)
Pd (0.625, 0.250, 0.875)
Pd (0.625, 0.875, 0.750)
Pd (0.750, 0.125, 0.375)
Pd (0.750, 0.625, 0.875)
Pd (0.875, 0.625, 0.250)
Pd (0.875, 0.750, 0.625)
F (0.000, 0.000, 0.000)
F (0.000, 0.000, 0.500)
F (0.000, 0.500, 0.000)
F (0.000, 0.500, 0.500)
F (0.125, 0.750, 0.875)
F (0.125, 0.875, 0.250)
F (0.250, 0.125, 0.875)
F (0.250, 0.625, 0.375)
F (0.375, 0.250, 0.625)
F (0.375, 0.625, 0.750)
F (0.500, 0.000, 0.000)
F (0.500, 0.000, 0.500)
F (0.500, 0.500, 0.000)
F (0.500, 0.500, 0.500)
F (0.625, 0.375, 0.250)
F (0.625, 0.750, 0.375)
F (0.750, 0.375, 0.625)
F (0.750, 0.875, 0.125)
F (0.875, 0.125, 0.750)
F (0.875, 0.250, 0.125)

***

Record 12
## Ce2UPt (PBE-GGA)

Data for an optimized crystal structure of Ce2UPt.

Results
energy above the most stable polymorph in this dataset = 0.0 meV/atom

Cell: 5.267 5.267 3.111 Å, 90.00 90.00 90.00°
Fractional coordinates of all 4 atoms:
Ce (0.000, 0.500, 0.000)
Ce (0.500, 0.000, 0.000)
U (0.000, 0.000, 0.500)
Pt (0.500, 0.500, 0.500)

***

Record 13
## Li2Zn2Sn (PBE-GGA)

Data for an optimized crystal structure of Li2Zn2Sn.

Results
energy above the most stable polymorph in this dataset = 150.6 meV/atom

Cell: 7.163 7.163 3.423 Å, 90.00 90.00 90.00°
Fractional coordinates of all 10 atoms:
Li (0.143, 0.357, 0.000)
Li (0.357, 0.857, 0.000)
Li (0.643, 0.143, 0.000)
Li (0.857, 0.643, 0.000)
Zn (0.145, 0.645, 0.500)
Zn (0.355, 0.145, 0.500)
Zn (0.645, 0.855, 0.500)
Zn (0.855, 0.355, 0.500)
Sn (0.000, 0.000, 0.000)
Sn (0.500, 0.500, 0.000)

***

Record 14
## LaZr2Cu (PBE-GGA)

Data for an optimized crystal structure of LaZr2Cu.

Results
energy above the most stable polymorph in this dataset = 323.6 meV/atom

Cell: 4.938 4.938 4.938 Å, 60.00 60.00 60.00°
Fractional coordinates of all 4 atoms:
La (0.000, 0.000, 0.000)
Zr (0.250, 0.250, 0.250)
Zr (0.750, 0.750, 0.750)
Cu (0.500, 0.500, 0.500)

***

Record 15
## ZnHg2Ge2 (PBE-GGA)

Data for an optimized crystal structure of ZnHg2Ge2.

Results
energy above the most stable polymorph in this dataset = 122.8 meV/atom

Cell: 7.566 7.566 3.998 Å, 90.00 90.00 90.00°
Fractional coordinates of all 10 atoms:
Zn (0.000, 0.000, 0.000)
Zn (0.500, 0.500, 0.000)
Hg (0.178, 0.322, 0.000)
Hg (0.322, 0.822, 0.000)
Hg (0.678, 0.178, 0.000)
Hg (0.822, 0.678, 0.000)
Ge (0.122, 0.622, 0.500)
Ge (0.378, 0.122, 0.500)
Ge (0.622, 0.878, 0.500)
Ge (0.878, 0.378, 0.500)

***

Record 16
## Ac6Zn2Os (PBE-GGA)

Data for an optimized crystal structure of Ac6Zn2Os.

Results
uncorrected energy = -4.361 eV per atom

Cell: 7.432 8.086 13.135 Å, 90.00 121.73 90.00°
Fractional coordinates of all 18 atoms:
Ac (0.111, 0.036, 0.249)
Ac (0.111, 0.464, 0.749)
Ac (0.239, 0.689, 0.065)
Ac (0.239, 0.811, 0.565)
Ac (0.376, 0.190, 0.061)
Ac (0.376, 0.310, 0.561)
Ac (0.624, 0.690, 0.439)
Ac (0.624, 0.810, 0.939)
Ac (0.761, 0.189, 0.435)
Ac (0.761, 0.311, 0.935)
Ac (0.889, 0.536, 0.251)
Ac (0.889, 0.964, 0.751)
Zn (0.315, 0.102, 0.763)
Zn (0.315, 0.398, 0.263)
Zn (0.685, 0.602, 0.737)
Zn (0.685, 0.898, 0.237)
Os (0.000, 0.000, 0.000)
Os (0.000, 0.500, 0.500)

***

Record 17
## Cr2SbP (PBE-GGA)

Data for an optimized crystal structure of Cr2SbP.

Results
formation energy without anion corrections = 0.141 eV per atom

Cell: 2.998 2.998 6.662 Å, 90.00 90.00 90.00°
Fractional coordinates of all 4 atoms:
Cr (0.000, 0.000, 0.196)
Cr (0.000, 0.000, 0.804)
Sb (0.500, 0.500, 0.500)
P (0.500, 0.500, 0.000)

***

Record 18
## CsTa2CrNi (PBE-GGA)

Data for an optimized crystal structure of CsTa2CrNi.

Results
uncorrected energy = -6.479 eV per atom

Cell: 4.717 4.717 4.889 Å, 90.00 90.00 90.00°
Fractional coordinates of all 5 atoms:
Cs (0.000, 0.000, 0.000)
Ta (0.000, 0.500, 0.500)
Ta (0.500, 0.000, 0.500)
Cr (0.500, 0.500, 0.500)
Ni (0.500, 0.500, 0.000)

***

no.,DOS at the Fermi energy (states/eV/cell),spin magnetization (μB/atom)
1,1.7,0.0000
2,8.5,0.2105
3,3.1,0.0000
4,4.1,0.0000
5,4.0,0.0000
6,1.8,0.0000
7,9.6,1.0901
8,1.4,0.0000
9,1.9,0.5379
10,5.3,0.0075
11,16.2,0.0000
12,8.2,0.0995
13,3.7,0.0000
14,5.6,0.0000
15,4.4,0.0000
16,22.1,0.0000
17,3.8,0.8531
18,5.5,0.0001